Computed, not measured: crystalline DyCrC at its relaxed geometry at the PBE level of DFT.

Lattice parameters (Å, degrees): 6.3470 5.0026 5.6037 90.00 90.00 90.00
Space group Pca2_1 (No. 29)
Unique sites:
Dy1 0.1129 0.0200 0.0000 [4 per cell]
Cr1 0.1339 0.5036 0.6732 [4 per cell]
C1 0.1213 0.3448 0.3429 [4 per cell]

Computed properties:
The size of the total moment comes out at 1.023 μB/f.u. As for the density: 8.5 g/cm³. The uncorrected energy is -7.71 eV/atom. The volume is 14.83 Å³ per atom.